VASP calculation (PBE) on a relaxed structure of YAl2Os.

```
data_YAl2Os
_chemical_formula_sum 'Y4 Al8 Os4'
_symmetry_space_group_name_H-M 'F -4 3 m'
_symmetry_Int_Tables_number 216
_symmetry_space_group_name_Hall 'F -4 2 3'
_cell_length_a 6.5548
_cell_length_b 6.5548
_cell_length_c 6.5548
_cell_angle_alpha 90.00
_cell_angle_beta 90.00
_cell_angle_gamma 90.00
loop_
_atom_site_label
_atom_site_fract_x
_atom_site_fract_y
_atom_site_fract_z
Y1 0.0000 0.0000 0.0000
Al1 0.0000 0.0000 0.5000
Al2 0.2500 0.2500 0.2500
Os1 0.2500 0.2500 0.7500
```

Computed properties:
E_tot: -6.44 eV/atom
Magnetic moment: 0.09 μB/cell